The following is a PBE calculation of an optimized crystal structure of Zn4InRh, from Alexandria.

The total magnetic moment comes out at 0.0 μB per cell. For the formation energy, the calculation gives -0.093 eV per atom. The calculation puts the uncorrected energy at -63.0 eV per cell.

The structure belongs to space group F-43m (No. 216); the cell edges are 7.1480, 7.1480 and 7.1480 Å and the angles 90.00°, 90.00° and 90.00°. Symmetry generates all atoms from Zn at (0.1244, 0.1244, 0.3756), In at (0.0000, 0.0000, 0.0000) and Rh at (0.2500, 0.2500, 0.7500).

=====

The following is a PBE calculation of an optimized crystal structure of LiBeFe2Ru, from Alexandria.

The total magnetic moment comes out at 5.9 μB per cell. For the formation energy, the calculation gives 0.902 eV per atom. The calculation puts the uncorrected energy at -27.3 eV per cell.

The structure belongs to space group P4/mmm (No. 123); the cell edges are 3.9269, 3.9269 and 3.7894 Å and the angles 90.00°, 90.00° and 90.00°. Symmetry generates all atoms from Li at (0.0000, 0.0000, 0.0000), Be at (0.0000, 0.0000, 0.5000), Fe at (0.0000, 0.5000, 0.0000) and Ru at (0.5000, 0.5000, 0.5000).

=====

The following is a PBE calculation of an optimized crystal structure of CoBi2PtC, from Alexandria.

The total magnetic moment comes out at 1.5 μB per cell. For the formation energy, the calculation gives 0.909 eV per atom. The calculation puts the uncorrected energy at -25.6 eV per cell.

The structure belongs to space group P4/mmm (No. 123); the cell edges are 5.1978, 5.1978 and 3.8334 Å and the angles 90.00°, 90.00° and 90.00°. Symmetry generates all atoms from Co at (0.0000, 0.0000, 0.0000), Bi at (0.0000, 0.5000, 0.5000), Pt at (0.5000, 0.5000, 0.0000) and C at (0.5000, 0.5000, 0.5000).

=====

The following is a PBE calculation of an optimized crystal structure of Pu3Hg4Au4, from Alexandria.

The distance to the lowest polymorph of the same formula comes out at 56 meV per atom. The total magnetic moment comes out at 35.3 μB per cell. For the formation energy, the calculation gives -0.169 eV per atom. The calculation puts the uncorrected energy at -118.4 eV per cell.

The structure belongs to space group Immm (No. 71); the cell edges are 4.6304, 7.7333 and 14.7390 Å and the angles 90.00°, 90.00° and 90.00°. Symmetry generates all atoms from Pu at (0.0000, 0.0000, 0.0000), Pu at (0.0000, 0.5000, 0.3440), Hg at (0.0000, 0.3046, 0.1397), Au at (0.0000, 0.0000, 0.2916) and Au at (0.0000, 0.2235, 0.5000).

=====

The following is a PBE calculation of an optimized crystal structure of Ac12Ir3O5, from Alexandria.

The total magnetic moment comes out at 0.0 μB per cell. The formation energy without anion corrections is -1454 meV per atom. The calculation puts the uncorrected energy at -1038.0 eV per cell.

The structure belongs to space group Ia-3d (No. 230); the cell edges are 16.6769, 16.6769 and 16.6769 Å and the angles 90.00°, 90.00° and 90.00°. Symmetry generates all atoms from Ac at (0.0317, 0.0574, 0.6524), Ir at (0.0000, 0.2500, 0.1250), O at (0.0000, 0.0000, 0.0000) and O at (0.0000, 0.2500, 0.3750).

=====

The following is a PBE calculation of an optimized crystal structure of TcPbAuI2, from Alexandria.

The distance to the lowest polymorph of the same formula comes out at 0 meV per atom. The total magnetic moment comes out at 3.6 μB per cell. The formation energy without anion corrections is 938 meV per atom. The calculation puts the uncorrected energy at -15.8 eV per cell.

The structure belongs to space group P4/mmm (No. 123); the cell edges are 5.6363, 5.6363 and 5.3384 Å and the angles 90.00°, 90.00° and 90.00°. Symmetry generates all atoms from Tc at (0.0000, 0.0000, 0.0000), Pb at (0.5000, 0.5000, 0.0000), Au at (0.0000, 0.0000, 0.5000) and I at (0.0000, 0.5000, 0.5000).

=====

The following is a PBE calculation of an optimized crystal structure of NdTm6Mg, from Alexandria.

The distance to the lowest polymorph of the same formula comes out at 136 meV per atom. The total magnetic moment comes out at 0.0 μB per cell. For the formation energy, the calculation gives 0.179 eV per atom. The calculation puts the uncorrected energy at -63.5 eV per cell.

The structure belongs to space group C2/m (No. 12); the cell edges are 7.1193, 10.9175 and 6.4185 Å and the angles 90.00°, 99.81° and 90.00°. Symmetry generates all atoms from Nd at (0.0000, 0.0000, 0.0000), Tm at (0.0912, 0.5000, 0.2625), Tm at (0.1843, 0.2691, 0.7305) and Mg at (0.0000, 0.0000, 0.5000).

=====

The following is a PBE calculation of an optimized crystal structure of PuAl2Au8, from Alexandria.

The total magnetic moment comes out at 11.0 μB per cell. For the formation energy, the calculation gives -0.297 eV per atom. The calculation puts the uncorrected energy at -102.6 eV per cell.

The structure belongs to space group C2/m (No. 12); the cell edges are 14.2336, 4.2384 and 7.7486 Å and the angles 90.00°, 116.53° and 90.00°. Symmetry generates all atoms from Pu at (0.0000, 0.0000, 0.0000), Al at (0.2261, 0.5000, 0.7090), Au at (0.0424, 0.5000, 0.7253), Au at (0.1016, 0.0000, 0.4771), Au at (0.1654, 0.5000, 0.3010) and Au at (0.1866, 0.0000, 0.8957).

=====

The following is a PBE calculation of an optimized crystal structure of ZnSbIr3, from Alexandria.

The distance to the lowest polymorph of the same formula comes out at 0 meV per atom. The total magnetic moment comes out at 0.0 μB per cell. The formation energy without anion corrections is 1252 meV per atom. The calculation puts the uncorrected energy at -25.7 eV per cell.

The structure belongs to space group Pm-3m (No. 221); the cell edges are 4.5730, 4.5730 and 4.5730 Å and the angles 90.00°, 90.00° and 90.00°. Symmetry generates all atoms from Zn at (0.0000, 0.0000, 0.0000), Sb at (0.5000, 0.5000, 0.5000) and Ir at (0.0000, 0.0000, 0.5000).

=====

The following is a PBE calculation of an optimized crystal structure of Li12CaGe4, from Alexandria.

The total magnetic moment comes out at 0.0 μB per cell. For the formation energy, the calculation gives -0.027 eV per atom. The calculation puts the uncorrected energy at -87.8 eV per cell.

The structure belongs to space group Im-3 (No. 204); the cell edges are 9.2730, 9.2730 and 9.2730 Å and the angles 90.00°, 90.00° and 90.00°. Symmetry generates all atoms from Li at (0.0000, 0.1934, 0.3319), Ca at (0.0000, 0.0000, 0.0000) and Ge at (0.2500, 0.2500, 0.2500).

=====

The following is a PBE calculation of an optimized crystal structure of LaTb3Pr8, from Alexandria.

The total magnetic moment comes out at 0.0 μB per cell. For the formation energy, the calculation gives 0.548 eV per atom. The calculation puts the uncorrected energy at -101.0 eV per cell.

The structure belongs to space group I-42m (No. 121); the cell edges are 8.8655, 8.8655 and 11.7122 Å and the angles 90.00°, 90.00° and 90.00°. Symmetry generates all atoms from La at (0.0000, 0.0000, 0.0000), Tb at (0.0000, 0.0000, 0.5000), Tb at (0.0000, 0.5000, 0.2500), Pr at (0.1234, 0.1234, 0.2517) and Pr at (0.2487, 0.2487, 0.5049).

=====

The following is a PBE calculation of an optimized crystal structure of LiGaSi, from Alexandria.

The total magnetic moment comes out at 0.0 μB per cell. The formation energy without anion corrections is -87 meV per atom. The calculation puts the uncorrected energy at -10.6 eV per cell.

The structure belongs to space group P-6m2 (No. 187); the cell edges are 4.4208, 4.4208 and 2.8121 Å and the angles 90.00°, 90.00° and 120.00°. Symmetry generates all atoms from Li at (0.0000, 0.0000, 0.0000), Ga at (0.3333, 0.6667, 0.5000) and Si at (0.6667, 0.3333, 0.5000).

=====

Number 6 is which compound? TcPbAuI2

=====

Which value of uncorrected energy does entry 4 give? -118.4 eV per cell

=====

The lowest uncorrected energy belongs to which entry? Ac12Ir3O5